Compound: CaPmY2Hg4
Source: the Alexandria database
Functional: GGA-PBE
Structure: relaxed

```
CaPmY2Hg4
1.0
5.310 0.000 0.000
2.655 4.599 0.000
2.655 1.533 8.697
Y Hg Pm Ca
2 4 1 1
Direct
0.752 0.752 0.743
0.248 0.248 0.257
0.625 0.625 0.125
0.876 0.876 0.373
0.375 0.375 0.875
0.124 0.124 0.627
0.000 0.000 0.000
0.500 0.500 0.500
```

ΔE_f, eV per atom: -0.5152
Crystal system: trigonal



Compound: CaPr3Hg5
Source: the Alexandria database
Functional: GGA-PBE
Structure: relaxed

```
CaPr3Hg5
1.0
6.701 0.000 0.000
0.000 8.099 -4.676
0.000 0.000 9.352
Hg Ca Pr
10 2 6
Direct
0.250 0.000 0.699
0.250 0.301 0.301
0.750 0.300 0.000
0.250 0.700 0.000
0.750 0.000 0.301
0.750 0.699 0.699
0.500 0.667 0.333
0.500 0.333 0.667
0.000 0.667 0.333
0.000 0.333 0.667
0.500 0.000 0.000
0.000 0.000 0.000
0.750 0.366 0.366
0.250 0.634 0.634
0.750 0.634 0.000
0.750 0.000 0.634
0.250 0.000 0.366
0.250 0.366 0.000
```

ΔE_f, eV per atom: -0.4418
Crystal system: hexagonal



Compound: Ca3PrHg12
Source: the Alexandria database
Functional: GGA-PBE
Structure: relaxed

```
Ca3PrHg12
1.0
-0.185 -4.691 -0.370
2.516 0.215 -3.975
15.821 -1.407 9.936
Hg Pr Ca
12 1 3
Direct
0.000 0.500 0.624
0.500 0.000 0.624
0.500 0.000 0.376
0.500 0.500 0.000
0.000 0.500 0.376
0.500 0.500 0.500
0.000 0.500 0.874
0.000 0.500 0.126
0.500 0.000 0.874
0.500 0.000 0.126
0.500 0.500 0.251
0.500 0.500 0.749
0.000 0.000 0.000
0.000 0.000 0.500
0.000 0.000 0.747
0.000 0.000 0.253
```

ΔE_f, eV per atom: -0.3692
Crystal system: tetragonal